No. 1
An optimized crystal structure of PuBC, computed with GGA-PBE.

Computed properties:
ρ, Mg/m³: 10.44
Uncorrected energy, eV per atom: -9.8363
Size of the total moment, μB per cell: 9.0

a b c (Å): 3.6737 3.6737 6.2877
angles (deg): 90.00 90.00 90.00
Space group I4mm (No. 107)
Asymmetric unit:
Pu 0.0000 0.0000 0.0000
B 0.0000 0.0000 0.3967
C 0.0000 0.0000 0.6243

No. 2
An optimized crystal structure of CaAcEuZn, computed with GGA-PBE.

Computed properties:
ρ, Mg/m³: 5.87
Uncorrected energy, eV per atom: -4.3552
Size of the total moment, μB per cell: 30.5

a b c (Å): 8.1854 8.1854 8.1854
angles (deg): 90.00 90.00 90.00
Space group F-43m (No. 216)
Asymmetric unit:
Ca 0.0000 0.0000 0.0000
Ac 0.2500 0.2500 0.2500
Eu 0.2500 0.2500 0.7500
Zn 0.0000 0.0000 0.5000

No. 3
An optimized crystal structure of HoMg2Pa, computed with GGA-PBE.

Computed properties:
ρ, Mg/m³: 7.30
Uncorrected energy, eV per atom: -4.1532
Size of the total moment, μB per cell: 0.7

a b c (Å): 3.1948 3.1948 9.9111
angles (deg): 90.00 90.00 90.00
Space group P4/mmm (No. 123)
Asymmetric unit:
Ho 0.0000 0.0000 0.0000
Mg 0.5000 0.5000 0.2503
Pa 0.0000 0.0000 0.5000

No. 4
An optimized crystal structure of Cs2TlAgBr4, computed with GGA-PBE.

Computed properties:
ρ, Mg/m³: 3.62
Uncorrected formation energy, eV per atom: -1.161
Size of the total moment, μB per cell: 0.6

a b c (Å): 4.9057 18.8505 17.7976
angles (deg): 90.00 90.00 90.00
Space group Cmcm (No. 63)
Asymmetric unit:
Cs 0.0000 0.1259 0.0436
Tl 0.0000 0.2987 0.2500
Ag 0.0000 0.3286 0.7500
Br 0.0000 0.1095 0.2500
Br 0.0000 0.2394 0.6266
Br 0.0000 0.5000 0.0000

No. 5
An optimized crystal structure of Ba2AlZnO4, computed with GGA-PBE.

Computed properties:
ρ, Mg/m³: 4.98
Uncorrected formation energy, eV per atom: -2.051
Size of the total moment, μB per cell: 0.0

a b c (Å): 4.9670 11.5654 20.0092
angles (deg): 90.00 90.00 90.00
Space group Fddd (No. 70, origin choice 2)
Asymmetric unit:
Ba 0.1250 0.1250 0.3009
Al 0.1250 0.1250 0.6250
Zn 0.1250 0.1250 0.1250
O 0.0948 0.2764 0.8302

No. 6
An optimized crystal structure of NdTa3, computed with GGA-PBE.

Computed properties:
ρ, Mg/m³: 13.76
Uncorrected energy, eV per atom: -9.5535
Size of the total moment, μB per cell: 0.0

a b c (Å): 6.9218 6.9218 6.9218
angles (deg): 90.00 90.00 90.00
Space group Fm-3m (No. 225)
Asymmetric unit:
Nd 0.0000 0.0000 0.0000
Ta 0.0000 0.0000 0.5000
Ta 0.2500 0.2500 0.2500

No. 7
An optimized crystal structure of Ba5GeI4, computed with GGA-PBE.

Computed properties:
ρ, Mg/m³: 4.79
Uncorrected formation energy, eV per atom: -1.255
Size of the total moment, μB per cell: 0.0

a b c (Å): 11.1970 11.1970 7.0014
angles (deg): 90.00 90.00 90.00
Space group I4/m (No. 87)
Asymmetric unit:
Ba 0.0000 0.0000 0.0000
Ba 0.0974 0.2716 0.5000
Ge 0.0000 0.0000 0.5000
I 0.0916 0.3085 0.0000

No. 8
An optimized crystal structure of Ti6Nb2Al, computed with GGA-PBE.

Computed properties:
ρ, Mg/m³: 5.36
Uncorrected energy, eV per atom: -7.9835
Size of the total moment, μB per cell: 0.0

a b c (Å): 12.5772 3.8268 6.8273
angles (deg): 90.00 109.42 90.00
Space group C2/m (No. 12)
Asymmetric unit:
Ti 0.1054 0.0000 0.1693
Ti 0.1650 0.5000 0.4981
Ti 0.2248 0.0000 0.8250
Nb 0.0594 0.5000 0.8286
Al 0.0000 0.0000 0.5000

No. 9
An optimized crystal structure of Zr3W, computed with GGA-PBE.

Computed properties:
ρ, Mg/m³: 9.15
Uncorrected energy, eV per atom: -9.4276
Size of the total moment, μB per cell: 0.0

a b c (Å): 5.4974 5.4974 5.4974
angles (deg): 90.00 90.00 90.00
Space group Pm-3n (No. 223)
Asymmetric unit:
Zr 0.0000 0.2500 0.5000
W 0.0000 0.0000 0.0000

No. 10
An optimized crystal structure of RbBeHgF6, computed with GGA-PBE.

Computed properties:
ρ, Mg/m³: 4.21
Uncorrected formation energy, eV per atom: -2.224
Size of the total moment, μB per cell: 2.1

a b c (Å): 5.1933 10.3220 6.0439
angles (deg): 90.00 94.54 90.00
Space group C2 (No. 5)
Asymmetric unit:
Rb 0.0000 0.0000 0.0000
Be 0.0000 0.5709 0.5000
Hg 0.0000 0.2819 0.5000
F 0.1580 0.4791 0.3535
F 0.1963 0.6530 0.6527
F 0.2154 0.2761 0.7971

No. 11
An optimized crystal structure of La2Ce3DySb6, computed with GGA-PBE.

Computed properties:
ρ, Mg/m³: 6.72
Uncorrected formation energy, eV per atom: -1.131
Size of the total moment, μB per cell: 4.8

a b c (Å): 7.8357 13.5737 7.8461
angles (deg): 90.00 109.48 90.00
Space group C2/m (No. 12)
Asymmetric unit:
La 0.0000 0.1656 0.0000
Ce 0.0000 0.0000 0.5000
Ce 0.0000 0.3306 0.5000
Dy 0.0000 0.5000 0.0000
Sb 0.2400 0.5000 0.7448
Sb 0.2465 0.3369 0.2520

No. 12
An optimized crystal structure of PrErAg2Te4, computed with GGA-PBE.

Computed properties:
ρ, Mg/m³: 6.53
Uncorrected formation energy, eV per atom: -0.723
Size of the total moment, μB per cell: 0.0

a b c (Å): 7.4661 7.4787 9.4195
angles (deg): 90.00 90.00 90.00
Space group I222 (No. 23)
Asymmetric unit:
Pr 0.0000 0.0000 0.0000
Er 0.0000 0.0000 0.5000
Ag 0.0000 0.5000 0.1504
Te 0.2268 0.2510 0.3380

Q: Number 10 is which compound?
A: RbBeHgF6